The following is a PBE calculation of crystalline Be2ZnFe at its relaxed geometry, from Alexandria. Values from VASP.

Values from the calculation:
E_form: 0.14 eV/atom

Cell and atoms, written as Quantum ESPRESSO input:
```
&SYSTEM
  ibrav = 0, nat = 4, ntyp = 3
/
ATOMIC_SPECIES
Be 9.01 Be.upf
Zn 65.41 Zn.upf
Fe 55.84 Fe.upf
ATOMIC_POSITIONS crystal
Be 0.0000 0.0000 0.0000
Be 0.2500 0.2500 0.2500
Zn 0.7500 0.7500 0.7500
Fe 0.5000 0.5000 0.5000
CELL_PARAMETERS angstrom
0.0000 2.7410 2.7410
2.7410 0.0000 2.7410
2.7410 2.7410 0.0000
```